# 1
A relaxed structure of VP2ClF. Source: Alexandria, functional GGA+U.

Geometry as POSCAR:
```
VP2ClF
1.0
4.058 0.000 0.000
0.000 4.058 0.000
0.000 0.000 5.162
P V F Cl
2 1 1 1
Direct
0.500 0.000 0.000 P
0.000 0.500 0.000 P
0.500 0.500 0.500 V
0.000 0.000 0.000 F
0.000 0.000 0.500 Cl
```

## Properties
Its energy relative to the lowest polymorph listed for this composition is 482 meV per atom. The calculation puts the magnetization at 0.018 μB per atom. The volume comes out at 85.0 Å³/cell.

# 2
A relaxed structure of VP2ClF. Source: Alexandria, functional GGA+U.

Geometry as POSCAR:
```
VP2ClF
1.0
4.536 0.000 0.000
0.000 4.536 0.000
0.000 0.000 4.603
P Cl V F
2 1 1 1
Direct
0.500 0.000 0.000 P
0.000 0.500 0.000 P
0.000 0.000 0.500 Cl
0.000 0.000 0.000 V
0.500 0.500 0.500 F
```

## Properties
Its energy relative to the lowest polymorph listed for this composition is 0 meV per atom. The calculation puts the magnetization at 0.000 μB per atom. The volume comes out at 94.7 Å³/cell.

# 3
A relaxed structure of PWCl2F. Source: Alexandria, functional GGA+U.

Geometry as POSCAR:
```
PWCl2F
1.0
4.768 0.000 0.000
0.000 4.768 0.000
0.000 0.000 4.727
W Cl F P
1 2 1 1
Direct
0.000 0.000 0.000 W
0.000 0.500 0.000 Cl
0.500 0.000 0.000 Cl
0.500 0.500 0.500 F
0.000 0.000 0.500 P
```

## Properties
Its energy relative to the lowest polymorph listed for this composition is 0 meV per atom. The calculation puts the magnetization at 0.000 μB per atom. The volume comes out at 107.5 Å³/cell.

# 4
A relaxed structure of PWCl2F. Source: Alexandria, functional GGA+U.

Geometry as POSCAR:
```
PWCl2F
1.0
-2.545 -2.863 -3.816
4.440 -3.005 -0.706
-1.191 -2.363 2.568
W P Cl F
1 1 2 1
Direct
0.500 0.500 0.500 W
0.000 0.000 0.500 P
0.500 0.000 0.000 Cl
0.000 0.500 0.000 Cl
0.000 0.000 0.000 F
```

## Properties
Its energy relative to the lowest polymorph listed for this composition is 331 meV per atom. The calculation puts the magnetization at 0.523 μB per atom. The volume comes out at 107.8 Å³/cell.